! PBE+U CoPdF2, relaxed; values from VASP
&SYSTEM
  ibrav = 0, nat = 8, ntyp = 3
/
ATOMIC_SPECIES
Co 58.93 Co.upf
Pd 106.42 Pd.upf
F 19.00 F.upf
CELL_PARAMETERS angstrom
-2.778 2.778 4.292
2.778 -2.778 4.292
2.778 2.778 -4.292
ATOMIC_POSITIONS crystal
Co 0.000 0.000 0.000
Co 0.750 0.250 0.500
Pd 0.250 0.750 0.500
Pd 0.500 0.500 0.000
F 0.028 0.625 0.903
F 0.375 0.278 0.403
F 0.722 0.125 0.097
F 0.875 0.972 0.597
! - spin magnetization (μB/f.u.) = 3.18
! - energy (eV/atom) = -4.32
! - V (A^3/atom) = 16.57
! - ΔE to the lowest computed polymorph (meV/atom) = 311.8